(1)
Density functional theory data (GGA-PBE) for crystalline TiAl2Cu at its relaxed geometry.

## Properties
For the spin magnetization, the calculation gives 0.00 μB/f.u. The formation energy is -0.3256 eV per atom.

Cell: 2.889 2.889 7.058 Å, 90.00 90.00 90.00°
Space group P4/mmm (No. 123)
Asymmetric unit:
Ti1 0.000 0.000 0.000 (multiplicity 1)
Al1 0.500 0.500 0.275 (multiplicity 2)
Cu1 0.000 0.000 0.500 (multiplicity 1)

(2)
Density functional theory data (GGA-PBE) for crystalline TiAlCu2 at its relaxed geometry.

## Properties
For the spin magnetization, the calculation gives 0.00 μB/f.u. The formation energy is -0.1754 eV per atom.

Cell: 3.965 3.965 3.571 Å, 90.00 90.00 90.00°
Space group P4/mmm (No. 123)
Asymmetric unit:
Ti1 0.000 0.000 0.000 (multiplicity 1)
Al1 0.500 0.500 0.000 (multiplicity 1)
Cu1 0.000 0.500 0.500 (multiplicity 2)

(3)
Density functional theory data (GGA-PBE) for crystalline Ti3AlCu at its relaxed geometry.

## Properties
For the spin magnetization, the calculation gives 0.00 μB/f.u. The formation energy is 0.1417 eV per atom.

Cell: 6.4230 6.4230 4.8045 Å, 90.00 90.00 120.00°
Space group P6_3/mmc (No. 194)
Asymmetric unit:
Ti1 0.1950 0.3901 0.2500 (multiplicity 6)
Al1 0.3333 0.6667 0.7500 (multiplicity 2)
Cu1 0.0000 0.0000 0.0000 (multiplicity 2)

(4)
Density functional theory data (GGA-PBE) for crystalline Ti5AlCu2 at its relaxed geometry.

## Properties
For the spin magnetization, the calculation gives 0.02 μB/f.u. The formation energy is -0.0405 eV per atom.

Cell: 6.606 6.606 11.803 Å, 90.00 90.00 90.00°
Space group I4/mcm (No. 140)
Asymmetric unit:
Ti1 0.000 0.000 0.000 (multiplicity 4)
Ti2 0.153 0.347 0.158 (multiplicity 16)
Al1 0.000 0.000 0.250 (multiplicity 4)
Cu1 0.132 0.368 0.500 (multiplicity 8)

(5)
Density functional theory data (GGA-PBE) for crystalline TiAlCu at its relaxed geometry.

## Properties
For the spin magnetization, the calculation gives 0.36 μB/f.u. The formation energy is -0.2673 eV per atom.

Cell: 3.840 11.526 4.000 Å, 90.00 90.00 90.00°
Space group Cmmm (No. 65)
Asymmetric unit:
Ti1 0.000 0.165 0.000 (multiplicity 4)
Al1 0.000 0.345 0.500 (multiplicity 4)
Cu1 0.000 0.000 0.500 (multiplicity 2)
Cu2 0.000 0.500 0.000 (multiplicity 2)

(6)
Density functional theory data (GGA-PBE) for crystalline TiAlCu at its relaxed geometry.

## Properties
For the spin magnetization, the calculation gives 0.68 μB/f.u. The formation energy is -0.1443 eV per atom.

Cell: 3.753 3.753 6.535 Å, 90.00 90.00 90.00°
Space group P4/nmm (No. 129, origin choice 2)
Asymmetric unit:
Ti1 0.250 0.250 0.143 (multiplicity 2)
Al1 0.250 0.750 0.500 (multiplicity 2)
Cu1 0.250 0.250 0.755 (multiplicity 2)

(7)
Density functional theory data (GGA-PBE) for crystalline TiAl2Cu2 at its relaxed geometry.

## Properties
For the spin magnetization, the calculation gives 0.00 μB/f.u. The formation energy is -0.2227 eV per atom.

Cell: 7.291 7.291 2.685 Å, 90.00 90.00 90.00°
Space group P4/mbm (No. 127)
Asymmetric unit:
Ti1 0.000 0.000 0.000 (multiplicity 2)
Al1 0.173 0.327 0.500 (multiplicity 4)
Cu1 0.124 0.624 0.000 (multiplicity 4)

(8)
Density functional theory data (GGA-PBE) for crystalline TiAlCu at its relaxed geometry.

## Properties
For the spin magnetization, the calculation gives 0.00 μB/f.u. The formation energy is -0.3248 eV per atom.

Cell: 4.060 10.678 4.040 Å, 90.00 90.00 90.00°
Space group Cmcm (No. 63)
Asymmetric unit:
Ti1 0.000 0.093 0.250 (multiplicity 4)
Al1 0.000 0.406 0.250 (multiplicity 4)
Cu1 0.000 0.248 0.750 (multiplicity 4)

(9)
Density functional theory data (GGA-PBE) for crystalline TiAl3Cu2 at its relaxed geometry.

## Properties
For the spin magnetization, the calculation gives 0.00 μB/f.u. The formation energy is -0.2815 eV per atom.

Cell: 3.895 11.726 3.783 Å, 90.00 90.00 90.00°
Space group Cmmm (No. 65)
Asymmetric unit:
Ti1 0.000 0.000 0.000 (multiplicity 2)
Al1 0.000 0.168 0.500 (multiplicity 4)
Al2 0.000 0.500 0.500 (multiplicity 2)
Cu1 0.000 0.324 0.000 (multiplicity 4)

(10)
Density functional theory data (GGA-PBE) for crystalline TiAlCu at its relaxed geometry.

## Properties
For the spin magnetization, the calculation gives 0.00 μB/f.u. The formation energy is -0.1824 eV per atom.

Cell: 5.463 3.986 8.174 Å, 90.00 90.00 90.00°
Space group Pnma (No. 62)
Asymmetric unit:
Ti1 0.143 0.250 0.074 (multiplicity 4)
Al1 0.147 0.250 0.403 (multiplicity 4)
Cu1 0.081 0.250 0.732 (multiplicity 4)

(11)
Density functional theory data (GGA-PBE) for crystalline Ti6Al5Cu at its relaxed geometry.

## Properties
For the spin magnetization, the calculation gives 0.00 μB/f.u. The formation energy is -0.3514 eV per atom.

Cell: 3.946 11.723 8.239 Å, 90.00 90.00 90.00°
Space group Cmmm (No. 65)
Asymmetric unit:
Ti1 0.000 0.000 0.243 (multiplicity 4)
Ti2 0.000 0.333 0.255 (multiplicity 8)
Al1 0.000 0.158 0.500 (multiplicity 4)
Al2 0.000 0.168 0.000 (multiplicity 4)
Al3 0.000 0.500 0.000 (multiplicity 2)
Cu1 0.000 0.500 0.500 (multiplicity 2)

(12)
Density functional theory data (GGA-PBE) for crystalline TiAlCu at its relaxed geometry.

## Properties
For the spin magnetization, the calculation gives 0.00 μB/f.u. The formation energy is -0.2536 eV per atom.

Cell: 3.002 5.526 5.935 Å, 96.22 104.63 105.71°
Space group P-1 (No. 2)
Asymmetric unit:
Ti1 0.232 0.126 0.338 (multiplicity 2)
Al1 0.056 0.416 0.697 (multiplicity 2)
Cu1 0.411 0.777 0.041 (multiplicity 2)

(13)
Density functional theory data (GGA-PBE) for crystalline Ti2AlCu4 at its relaxed geometry.

## Properties
For the spin magnetization, the calculation gives 1.89 μB/f.u. The formation energy is 0.0380 eV per atom.

Cell: 8.807 5.013 9.115 Å, 90.00 90.00 90.00°
Space group Cmce (No. 64)
Asymmetric unit:
Ti1 0.159 0.000 0.000 (multiplicity 8)
Al1 0.000 0.000 0.500 (multiplicity 4)
Cu1 0.000 0.155 0.244 (multiplicity 8)
Cu2 0.250 0.164 0.750 (multiplicity 8)

(14)
Density functional theory data (GGA-PBE) for crystalline TiAlCu3 at its relaxed geometry.

## Properties
For the spin magnetization, the calculation gives 0.00 μB/f.u. The formation energy is -0.2294 eV per atom.

Cell: 4.221 4.245 7.750 Å, 90.00 105.79 90.00°
Space group P2_1/m (No. 11)
Asymmetric unit:
Ti1 0.148 0.250 0.297 (multiplicity 2)
Al1 0.354 0.250 0.707 (multiplicity 2)
Cu1 0.047 0.750 0.093 (multiplicity 2)
Cu2 0.247 0.750 0.496 (multiplicity 2)
Cu3 0.455 0.750 0.911 (multiplicity 2)

(15)
Density functional theory data (GGA-PBE) for crystalline TiAl2Cu2 at its relaxed geometry.

## Properties
For the spin magnetization, the calculation gives 0.00 μB/f.u. The formation energy is -0.1767 eV per atom.

Cell: 7.325 7.325 2.649 Å, 90.00 90.00 90.00°
Space group P4/mbm (No. 127)
Asymmetric unit:
Ti1 0.000 0.000 0.000 (multiplicity 2)
Al1 0.134 0.366 0.000 (multiplicity 4)
Cu1 0.164 0.664 0.500 (multiplicity 4)

(16)
Density functional theory data (GGA-PBE) for crystalline Ti3Al2Cu7 at its relaxed geometry.

## Properties
For the spin magnetization, the calculation gives 0.00 μB/f.u. The formation energy is -0.0778 eV per atom.

Cell: 4.976 2.620 12.861 Å, 90.00 95.20 90.00°
Space group P2/m (No. 10)
Asymmetric unit:
Ti1 0.000 0.000 0.000 (multiplicity 1)
Ti2 0.038 0.500 0.662 (multiplicity 2)
Al1 0.461 0.000 0.327 (multiplicity 2)
Cu1 0.231 0.500 0.168 (multiplicity 2)
Cu2 0.248 0.000 0.500 (multiplicity 2)
Cu3 0.275 0.000 0.838 (multiplicity 2)
Cu4 0.500 0.500 0.000 (multiplicity 1)

(17)
Density functional theory data (GGA-PBE) for crystalline TiAl2Cu2 at its relaxed geometry.

## Properties
For the spin magnetization, the calculation gives 0.00 μB/f.u. The formation energy is -0.0698 eV per atom.

Cell: 2.711 14.681 3.865 Å, 90.00 90.00 90.00°
Space group Cmmm (No. 65)
Asymmetric unit:
Ti1 0.000 0.000 0.000 (multiplicity 2)
Al1 0.000 0.391 0.500 (multiplicity 4)
Cu1 0.000 0.179 0.000 (multiplicity 4)

(18)
Density functional theory data (GGA-PBE) for crystalline Ti2AlCu2 at its relaxed geometry.

## Properties
For the spin magnetization, the calculation gives 0.00 μB/f.u. The formation energy is -0.1948 eV per atom.

Cell: 6.777 6.777 3.242 Å, 90.00 90.00 90.00°
Space group P4/mbm (No. 127)
Asymmetric unit:
Ti1 0.172 0.328 0.000 (multiplicity 4)
Al1 0.000 0.000 0.500 (multiplicity 2)
Cu1 0.127 0.627 0.500 (multiplicity 4)

(19)
Density functional theory data (GGA-PBE) for crystalline Ti2Al2Cu at its relaxed geometry.

## Properties
For the spin magnetization, the calculation gives 0.00 μB/f.u. The formation energy is 0.2940 eV per atom.

Cell: 3.642 3.642 12.973 Å, 90.00 90.00 90.00°
Space group I4/mmm (No. 139)
Asymmetric unit:
Ti1 0.000 0.000 0.085 (multiplicity 4)
Al1 0.000 0.500 0.250 (multiplicity 4)
Cu1 0.000 0.000 0.500 (multiplicity 2)

(20)
Density functional theory data (GGA-PBE) for crystalline Ti3Al2Cu at its relaxed geometry.

## Properties
For the spin magnetization, the calculation gives 0.00 μB/f.u. The formation energy is -0.2110 eV per atom.

Cell: 3.321 3.321 8.535 Å, 90.00 90.00 90.00°
Space group P4/mmm (No. 123)
Asymmetric unit:
Ti1 0.000 0.000 0.000 (multiplicity 1)
Ti2 0.000 0.000 0.343 (multiplicity 2)
Al1 0.500 0.500 0.172 (multiplicity 2)
Cu1 0.500 0.500 0.500 (multiplicity 1)

(21)
Density functional theory data (GGA-PBE) for crystalline Ti3Al2Cu4 at its relaxed geometry.

## Properties
For the spin magnetization, the calculation gives 1.39 μB/f.u. The formation energy is -0.2477 eV per atom.

Cell: 4.2929 4.2929 8.0088 Å, 90.00 90.00 120.00°
Space group P-3m1 (No. 164)
Asymmetric unit:
Ti1 0.0000 0.0000 0.0000 (multiplicity 1)
Ti2 0.3333 0.6667 0.5787 (multiplicity 2)
Al1 0.3333 0.6667 0.2243 (multiplicity 2)
Cu1 0.0000 0.0000 0.3395 (multiplicity 2)
Cu2 0.3333 0.6667 0.9054 (multiplicity 2)

(22)
Density functional theory data (GGA-PBE) for crystalline Ti2Al2Cu at its relaxed geometry.

## Properties
For the spin magnetization, the calculation gives 0.00 μB/f.u. The formation energy is -0.2436 eV per atom.

Cell: 6.255 6.255 4.081 Å, 90.00 90.00 90.00°
Space group P4/mbm (No. 127)
Asymmetric unit:
Ti1 0.160 0.340 0.000 (multiplicity 4)
Al1 0.144 0.644 0.500 (multiplicity 4)
Cu1 0.000 0.000 0.500 (multiplicity 2)

(23)
Density functional theory data (GGA-PBE) for crystalline Ti2Al2Cu3 at its relaxed geometry.

## Properties
For the spin magnetization, the calculation gives 0.00 μB/f.u. The formation energy is -0.1944 eV per atom.

Cell: 8.618 3.765 6.146 Å, 90.00 93.49 90.00°
Space group C2/m (No. 12)
Asymmetric unit:
Ti1 0.138 0.000 0.437 (multiplicity 4)
Al1 0.075 0.500 0.756 (multiplicity 4)
Cu1 0.000 0.000 0.000 (multiplicity 2)
Cu2 0.219 0.500 0.141 (multiplicity 4)

(24)
Density functional theory data (GGA-PBE) for crystalline Ti12Al3Cu at its relaxed geometry.

## Properties
For the spin magnetization, the calculation gives 0.00 μB/f.u. The formation energy is -0.1961 eV per atom.

Cell: 4.032 4.032 16.114 Å, 90.00 90.00 90.00°
Space group P4/mmm (No. 123)
Asymmetric unit:
Ti1 0.000 0.000 0.000 (multiplicity 1)
Ti2 0.000 0.000 0.247 (multiplicity 2)
Ti3 0.000 0.000 0.500 (multiplicity 1)
Ti4 0.000 0.500 0.122 (multiplicity 4)
Ti5 0.000 0.500 0.374 (multiplicity 4)
Al1 0.500 0.500 0.247 (multiplicity 2)
Al2 0.500 0.500 0.500 (multiplicity 1)
Cu1 0.500 0.500 0.000 (multiplicity 1)

Number 1: density of states at the Fermi level 0.699 states/eV/atom, DFT total energy -5.195 eV per atom. Number 2: density of states at the Fermi level 0.999 states/eV/atom, DFT total energy -5.133 eV per atom. Number 3: density of states at the Fermi level 1.526 states/eV/atom, DFT total energy -6.163 eV per atom. Number 4: density of states at the Fermi level 1.579 states/eV/atom, DFT total energy -6.467 eV per atom. Number 5: density of states at the Fermi level 0.798 states/eV/atom, DFT total energy -5.512 eV per atom. Number 6: density of states at the Fermi level 0.807 states/eV/atom, DFT total energy -5.389 eV per atom. Number 7: density of states at the Fermi level 0.853 states/eV/atom, DFT total energy -4.937 eV per atom. Number 8: density of states at the Fermi level 0.493 states/eV/atom, DFT total energy -5.569 eV per atom. Number 9: density of states at the Fermi level 0.401 states/eV/atom, DFT total energy -4.834 eV per atom. Number 10: density of states at the Fermi level 0.722 states/eV/atom, DFT total energy -5.427 eV per atom. Number 11: density of states at the Fermi level 1.044 states/eV/atom, DFT total energy -6.200 eV per atom. Number 12: density of states at the Fermi level 0.427 states/eV/atom, DFT total energy -5.498 eV per atom. Number 13: density of states at the Fermi level 0.846 states/eV/atom, DFT total energy -5.093 eV per atom. Number 14: density of states at the Fermi level 0.472 states/eV/atom, DFT total energy -5.015 eV per atom. Number 15: density of states at the Fermi level 0.620 states/eV/atom, DFT total energy -4.891 eV per atom. Number 16: density of states at the Fermi level 0.546 states/eV/atom, DFT total energy -5.065 eV per atom. Number 17: density of states at the Fermi level 0.749 states/eV/atom, DFT total energy -4.784 eV per atom. Number 18: density of states at the Fermi level 0.599 states/eV/atom, DFT total energy -5.740 eV per atom. Number 19: density of states at the Fermi level 1.407 states/eV/atom, DFT total energy -5.180 eV per atom. Number 20: density of states at the Fermi level 0.965 states/eV/atom, DFT total energy -6.089 eV per atom. Number 21: density of states at the Fermi level 0.554 states/eV/atom, DFT total energy -5.532 eV per atom. Number 22: density of states at the Fermi level 0.462 states/eV/atom, DFT total energy -5.718 eV per atom. Number 23: density of states at the Fermi level 0.614 states/eV/atom, DFT total energy -5.275 eV per atom. Number 24: density of states at the Fermi level 1.158 states/eV/atom, DFT total energy -7.075 eV per atom.